Run i
This record from Alexandria via LeMat-Bulk describes a geometry-optimized Ce3In2Pb3 structure. The functional is PBE-GGA.

abc: 4.8301 4.7852 9.8466
angles: 90.00 90.00 90.00
Last column: nearest neighbours and their distance in Å.
Fractional coordinates of all 8 atoms:
Pb1 0.0000 0.5000 0.5000  4 Ce 3.33, 4 Pb 3.40, 4 In 3.48
In1 0.0000 0.0000 0.2429  6 Pb 3.38-3.50, 6 Ce 3.40-3.41
Pb2 0.5000 0.0000 0.5000  4 Ce 3.31, 4 Pb 3.40, 4 In 3.50
In2 0.0000 0.0000 0.7571  6 Pb 3.38-3.50, 6 Ce 3.40-3.41
Ce1 0.5000 0.5000 0.2674  6 Pb 3.31-3.57, 4 In 3.41, 2 Ce 3.56
Pb3 0.0000 0.5000 0.0000  4 In 3.38, 8 Ce 3.40-3.57
Ce2 0.5000 0.5000 0.7326  6 Pb 3.31-3.57, 4 In 3.41, 2 Ce 3.56
Ce3 0.5000 0.0000 0.0000  4 In 3.40, 4 Pb 3.40, 4 Ce 3.56

As for the symmetry: Pmmm. As for the density of states at the Fermi level: 2.3765 states/eV per atom.

Run ii
This record from Alexandria via LeMat-Bulk describes a geometry-optimized Ce3In2Pb3 structure. The functional is PBE-GGA.

abc: 4.7862 4.6066 10.9530
angles: 102.14 102.62 90.00
Last column: nearest neighbours and their distance in Å.
Fractional coordinates of all 8 atoms:
Ce1 0.6316 0.6316 0.2633  6 Pb 3.33-3.64, 4 In 3.37-3.45, 2 Ce 3.59
Pb1 0.8778 0.8778 0.7555  6 Ce 3.33-3.50, 2 Pb 3.44, 4 In 3.46-3.65
Ce2 0.3684 0.3684 0.7367  6 Pb 3.33-3.64, 4 In 3.37-3.45, 2 Ce 3.59
In1 0.7544 0.2544 0.5087  4 In 3.33, 4 Ce 3.37-3.45, 4 Pb 3.46-3.65
Ce3 0.5000 0.0000 0.0000  8 Pb 3.32-3.50, 4 Ce 3.59
In2 0.2456 0.7456 0.4913  4 In 3.33, 4 Ce 3.37-3.45, 4 Pb 3.46-3.65
Pb2 0.1222 0.1222 0.2445  6 Ce 3.33-3.50, 2 Pb 3.44, 4 In 3.46-3.65
Pb3 0.0000 0.5000 0.0000  8 Ce 3.32-3.64, 4 Pb 3.44

As for the symmetry: Immm. As for the density of states at the Fermi level: 2.5019 states/eV per atom.

Which is most stable? The ranking, best first, is run i, run ii.

Run i
This record from Alexandria via LeMat-Bulk describes a geometry-optimized Ce2InPb3 structure. The functional is PBE-GGA.

abc: 6.4845 6.4751 9.7763
angles: 109.34 109.37 90.00
Last column: nearest neighbours and their distance in Å.
Fractional coordinates of all 12 atoms:
Ce1 0.1541 0.8966 0.3082  7 Pb 3.21-3.49, 2 In 3.53
Pb1 0.6596 0.9216 0.3192  5 Ce 3.21-3.27, 2 In 3.55
Pb2 0.7500 0.5000 0.0000  2 In 3.24, 6 Pb 3.24-3.62, 4 Ce 3.49
Pb3 0.8404 0.6025 0.6808  5 Ce 3.21-3.27, 2 In 3.55
Ce2 0.6541 0.4116 0.3082  7 Pb 3.21-3.49, 2 In 3.53
Pb4 0.2500 0.5000 0.0000  2 In 3.24, 6 Pb 3.24-3.62, 4 Ce 3.49
Ce3 0.3459 0.5884 0.6918  7 Pb 3.21-3.49, 2 In 3.53
Ce4 0.8459 0.1034 0.6918  7 Pb 3.21-3.49, 2 In 3.53
In1 0.2500 0.0000 0.0000  6 Pb 3.24-3.55, 2 In 3.24, 4 Ce 3.53
Pb5 0.1596 0.3975 0.3192  5 Ce 3.21-3.27, 2 In 3.55
In2 0.7500 0.0000 0.0000  6 Pb 3.24-3.55, 2 In 3.24, 4 Ce 3.53
Pb6 0.3404 0.0784 0.6808  5 Ce 3.21-3.27, 2 In 3.55

As for the symmetry: Ibam. As for the density of states at the Fermi level: 2.0848 states/eV per atom.

Run ii
This record from Alexandria via LeMat-Bulk describes a geometry-optimized Ce2InPb3 structure. The functional is PBE-GGA.

abc: 5.5337 6.5410 6.8363
angles: 118.58 113.87 90.00
Last column: nearest neighbours and their distance in Å.
Fractional coordinates of all 6 atoms:
Ce1 0.6800 0.1800 0.3601  6 Pb 3.24-3.37, 1 In 3.41
Pb1 0.6622 0.6622 0.3244  4 Ce 3.24-3.28, 2 In 3.26, 2 Pb 3.46-3.60
Pb2 0.0000 0.0000 0.0000  2 In 3.27, 4 Ce 3.37, 2 Pb 3.60
In1 0.0000 0.5000 0.0000  6 Pb 3.26-3.27, 2 Ce 3.41
Ce2 0.3200 0.8200 0.6399  6 Pb 3.24-3.37, 1 In 3.41
Pb3 0.3378 0.3378 0.6756  4 Ce 3.24-3.28, 2 In 3.26, 2 Pb 3.46-3.60

As for the symmetry: Immm. As for the density of states at the Fermi level: 2.3683 states/eV per atom.

Which is most stable? The ranking, best first, is run i, run ii.

Run i
This record from Alexandria via LeMat-Bulk describes a geometry-optimized CeTlInPb structure. The functional is PBE-GGA.

abc: 4.7521 4.9737 4.7073
angles: 90.00 90.00 90.00
Last column: nearest neighbours and their distance in Å.
Fractional coordinates of all 4 atoms:
Ce1 0.0000 0.5000 0.5000  4 Pb 3.34, 4 Tl 3.42, 4 In 3.44
Pb1 0.5000 0.5000 0.0000  4 Ce 3.34, 4 In 3.42, 4 Tl 3.44
In1 0.5000 0.0000 0.5000  4 Tl 3.34, 4 Pb 3.42, 4 Ce 3.44
Tl1 0.0000 0.0000 0.0000  4 In 3.34, 4 Ce 3.42, 4 Pb 3.44

As for the symmetry: Pmmm. As for the density of states at the Fermi level: 1.6186 states/eV per atom.

Run ii
This record from Alexandria via LeMat-Bulk describes a geometry-optimized CeTlInPb structure. The functional is PBE-GGA.

abc: 5.5195 5.5195 5.5195
angles: 60.00 60.00 60.00
Last column: nearest neighbours and their distance in Å.
Fractional coordinates of all 4 atoms:
Tl1 0.0000 0.0000 0.0000  4 Pb 3.38, 4 Ce 3.38
Pb1 0.2500 0.2500 0.2500  4 Tl 3.38, 4 In 3.38
In1 0.5000 0.5000 0.5000  4 Pb 3.38, 4 Ce 3.38
Ce1 0.7500 0.7500 0.7500  4 Tl 3.38, 4 In 3.38

As for the symmetry: F-43m. As for the density of states at the Fermi level: 2.0334 states/eV per atom.

Which is most stable? The ranking, best first, is run i, run ii.

Run i
This record from Alexandria via LeMat-Bulk describes a geometry-optimized Ce2InPd structure. The functional is PBE-GGA.

abc: 4.6899 4.4392 4.4392
angles: 90.00 90.00 90.00
Last column: nearest neighbours and their distance in Å.
Fractional coordinates of all 4 atoms:
Ce1 0.0000 0.0000 0.5000  4 Ce 3.14, 4 In 3.23, 4 Pd 3.23
In1 0.5000 0.5000 0.5000  4 Pd 3.14, 8 Ce 3.23
Pd1 0.5000 0.0000 0.0000  4 In 3.14, 8 Ce 3.23
Ce2 0.0000 0.5000 0.0000  4 Ce 3.14, 4 In 3.23, 4 Pd 3.23

As for the symmetry: P4/mmm. As for the density of states at the Fermi level: 1.9007 states/eV per atom.

Run ii
This record from Alexandria via LeMat-Bulk describes a geometry-optimized Ce2InPd structure. The functional is PBE-GGA.

abc: 5.2747 5.2747 5.2747
angles: 60.00 60.00 60.00
Last column: nearest neighbours and their distance in Å.
Fractional coordinates of all 4 atoms:
Ce1 0.7500 0.7500 0.7500  4 Pd 3.23, 4 In 3.23
Ce2 0.2500 0.2500 0.2500  4 In 3.23, 4 Pd 3.23
In1 0.0000 0.0000 0.0000  8 Ce 3.23
Pd1 0.5000 0.5000 0.5000  8 Ce 3.23

As for the symmetry: Fm-3m. As for the density of states at the Fermi level: 3.5629 states/eV per atom.

Which is most stable? The ranking, best first, is run i, run ii.

Run i
This record from Alexandria via LeMat-Bulk describes a geometry-optimized Ce2InPd structure. The functional is PBE-GGA.

abc: 3.8577 3.8577 9.0076
angles: 77.64 77.64 60.00
Last column: nearest neighbours and their distance in Å.
Fractional coordinates of all 4 atoms:
In1 0.5000 0.5000 0.5000  6 Ce 3.34
Pd1 0.0000 0.0000 0.0000  6 Ce 2.91
Ce1 0.2618 0.2618 0.2146  3 Pd 2.91
Ce2 0.7382 0.7382 0.7854  3 Pd 2.91

As for the symmetry: R-3m. As for the density of states at the Fermi level: 2.7195 states/eV per atom.

Run ii
This record from Alexandria via LeMat-Bulk describes a geometry-optimized Ce2InPd structure. The functional is PBE-GGA.

abc: 3.3575 3.3575 8.7585
angles: 90.00 90.00 90.00
Last column: nearest neighbours and their distance in Å.
Fractional coordinates of all 4 atoms:
Ce1 0.0000 0.0000 0.7784  4 Pd 3.07, 4 Ce 3.36, 4 In 3.40
In1 0.5000 0.5000 0.5000  4 In 3.36, 8 Ce 3.40
Ce2 0.0000 0.0000 0.2216  4 Pd 3.07, 4 Ce 3.36, 4 In 3.40
Pd1 0.5000 0.5000 0.0000  8 Ce 3.07, 4 Pd 3.36

As for the symmetry: P4/mmm. As for the density of states at the Fermi level: 2.5034 states/eV per atom.

Which is most stable? The ranking, best first, is run ii, run i.

Run i
This record from Alexandria via LeMat-Bulk describes a geometry-optimized CeIn2Pd2 structure. The functional is PBE-GGA.

abc: 5.1613 6.7386 7.1271
angles: 106.74 111.23 90.00
Last column: nearest neighbours and their distance in Å.
Fractional coordinates of all 10 atoms:
Ce1 0.6220 0.7500 0.0000  4 Pd 3.05-3.16, 6 In 3.25-3.31
In1 0.9786 0.5289 0.7192  5 Pd 2.78-2.87
Ce2 0.3780 0.2500 0.0000  4 Pd 3.05-3.16, 6 In 3.25-3.31
Pd1 0.1805 0.8612 0.6136  5 In 2.78-2.87, 1 Pd 3.02, 1 Ce 3.05
Pd2 0.8195 0.1388 0.3864  5 In 2.78-2.87, 1 Pd 3.02, 1 Ce 3.05
In2 0.2594 0.9711 0.2808  5 Pd 2.78-2.87
Pd3 0.5670 0.6388 0.3864  5 In 2.78-2.87, 1 Pd 3.02, 1 Ce 3.05
In3 0.7406 0.0289 0.7192  5 Pd 2.78-2.87
Pd4 0.4330 0.3612 0.6136  5 In 2.78-2.87, 1 Pd 3.02, 1 Ce 3.05
In4 0.0214 0.4711 0.2808  5 Pd 2.78-2.87

As for the symmetry: C2/c. As for the density of states at the Fermi level: 1.3817 states/eV per atom.

Run ii
This record from Alexandria via LeMat-Bulk describes a geometry-optimized CeIn2Pd2 structure. The functional is PBE-GGA.

abc: 4.8062 5.2569 8.8947
angles: 81.83 90.00 90.00
Last column: nearest neighbours and their distance in Å.
Fractional coordinates of all 10 atoms:
Pd1 0.2500 0.6247 0.6049  5 In 2.68-2.86
Pd2 0.7500 0.6637 0.0239  4 In 2.78-2.90, 2 Pd 3.02, 3 Ce 3.04
Pd3 0.7500 0.3753 0.3951  5 In 2.68-2.86
Pd4 0.2500 0.3363 0.9761  4 In 2.78-2.90, 2 Pd 3.02, 3 Ce 3.04
In1 0.2500 0.1499 0.5276  4 Pd 2.68-2.86, 2 In 2.95
In2 0.7500 0.8501 0.4724  4 Pd 2.68-2.86, 2 In 2.95
Ce1 0.2500 0.6569 0.2346  6 Pd 3.04-3.27, 1 In 3.30
In3 0.7500 0.1406 0.1341  5 Pd 2.78-2.90
In4 0.2500 0.8594 0.8659  5 Pd 2.78-2.90
Ce2 0.7500 0.3431 0.7654  6 Pd 3.04-3.27, 1 In 3.30

As for the symmetry: P2_1/m. As for the density of states at the Fermi level: 1.4459 states/eV per atom.

Which is most stable? The ranking, best first, is run ii, run i.